Here is an optimized crystal structure of NaSr7Ca2 from the Alexandria database. Energies are from PBE-GGA.

abc: 6.7149 10.9489 10.9489
angles: 119.67 90.00 90.00
With the nearest neighbours (Å) after each atom.
Element x y z (fractional)
Sr (0.0000, 0.7916, 0.2084)  2 Ca 3.74, 1 Na 3.95
Sr (0.5000, 0.2938, 0.0648)  2 Ca 3.92-3.95, 5 Sr 3.94-4.34
Sr (0.5000, 0.0648, 0.2938)  2 Ca 3.92-3.95, 5 Sr 3.94-4.34
Sr (0.5000, 0.7062, 0.9352)  2 Ca 3.92-3.95, 5 Sr 3.94-4.34
Sr (0.0000, 0.2084, 0.7916)  2 Ca 3.74, 1 Na 3.95
Sr (0.5000, 0.9352, 0.7062)  2 Ca 3.92-3.95, 5 Sr 3.94-4.34
Sr (0.5000, 0.5000, 0.5000)  2 Ca 3.88, 4 Sr 4.14
Ca (0.5000, 0.7048, 0.2952)  7 Sr 3.74-3.95
Ca (0.5000, 0.2952, 0.7048)  7 Sr 3.74-3.95
Na (0.0000, 0.0000, 0.0000)  2 Sr 3.95

Summary:
ρ ... 1.701 g/cm3
Energy of formation from the pure elements ... 422 meV per atom



Here is an optimized crystal structure of HgRu from the Alexandria database. Energies are from PBE-GGA.

abc: 8.8910 8.8910 3.7908
angles: 90.00 90.00 90.00
With the nearest neighbours (Å) after each atom.
Element x y z (fractional)
Hg (0.8393, 0.8393, 0.0000)  4 Hg 2.86-2.94, 6 Ru 2.94-3.02
Hg (0.8393, 0.1607, 0.0000)  4 Hg 2.86-2.94, 6 Ru 2.94-3.02
Hg (0.6607, 0.3393, 0.5000)  4 Hg 2.86-2.94, 6 Ru 2.94-3.02
Hg (0.3393, 0.6607, 0.5000)  4 Hg 2.86-2.94, 6 Ru 2.94-3.02
Hg (0.1607, 0.8393, 0.0000)  4 Hg 2.86-2.94, 6 Ru 2.94-3.02
Hg (0.1607, 0.1607, 0.0000)  4 Hg 2.86-2.94, 6 Ru 2.94-3.02
Hg (0.3393, 0.3393, 0.5000)  4 Hg 2.86-2.94, 6 Ru 2.94-3.02
Hg (0.6607, 0.6607, 0.5000)  4 Hg 2.86-2.94, 6 Ru 2.94-3.02
Ru (0.6449, 0.0000, 0.5000)  5 Ru 2.58-2.63
Ru (0.5000, 0.1449, 0.0000)  5 Ru 2.58-2.63
Ru (0.5000, 0.8551, 0.0000)  5 Ru 2.58-2.63
Ru (0.8551, 0.5000, 0.0000)  5 Ru 2.58-2.63
Ru (0.0000, 0.3551, 0.5000)  5 Ru 2.58-2.63
Ru (0.1449, 0.5000, 0.0000)  5 Ru 2.58-2.63
Ru (0.0000, 0.6449, 0.5000)  5 Ru 2.58-2.63
Ru (0.3551, 0.0000, 0.5000)  5 Ru 2.58-2.63

Summary:
ρ ... 13.373 g/cm3
Energy of formation from the pure elements ... 521 meV per atom



Here is an optimized crystal structure of PrAlCd2 from the Alexandria database. Energies are from PBE-GGA.

abc: 4.7238 4.7238 5.8119
angles: 66.02 66.02 60.00
With the nearest neighbours (Å) after each atom.
Element x y z (fractional)
Cd (0.2777, 0.2777, 0.1668)  3 Al 2.86
Cd (0.7223, 0.7223, 0.8332)  3 Al 2.86
Al (0.0000, 0.0000, 0.0000)  6 Cd 2.86
Pr (0.5000, 0.5000, 0.5000)  8 Cd 3.22-3.42

Summary:
ρ ... 6.575 g/cm3
Energy of formation from the pure elements ... -189 meV per atom



Here is an optimized crystal structure of LaTbTh4 from the Alexandria database. Energies are from PBE-GGA.

abc: 3.6001 3.6001 15.1825
angles: 90.00 90.00 90.00
With the nearest neighbours (Å) after each atom.
Element x y z (fractional)
Th (0.0000, 0.0000, 0.3266)  8 Th 3.52-3.60, 4 La 3.66
Th (0.5000, 0.5000, 0.8333)  8 Th 3.52-3.60, 4 Tb 3.59
Th (0.0000, 0.0000, 0.6734)  8 Th 3.52-3.60, 4 La 3.66
Th (0.5000, 0.5000, 0.1667)  8 Th 3.52-3.60, 4 Tb 3.59
La (0.5000, 0.5000, 0.5000)  4 La 3.60, 8 Th 3.66
Tb (0.0000, 0.0000, 0.0000)  8 Th 3.59, 4 Tb 3.60

Summary:
ρ ... 10.346 g/cm3
Energy of formation from the pure elements ... 41 meV per atom



Here is an optimized crystal structure of ZrUPN from the Alexandria database. Energies are from PBE-GGA.

abc: 3.9669 3.9669 8.7295
angles: 90.00 90.00 90.00
With the nearest neighbours (Å) after each atom.
Element x y z (fractional)
Zr (0.0000, 0.0000, 0.5000)  4 P 2.70, 4 Zr 2.81
Zr (0.5000, 0.5000, 0.5000)  4 P 2.70, 4 Zr 2.81
U (0.0000, 0.5000, 0.8721)  4 N 2.28
U (0.5000, 0.0000, 0.1279)  4 N 2.28
P (0.5000, 0.0000, 0.7099)  4 Zr 2.70
P (0.0000, 0.5000, 0.2901)  4 Zr 2.70
N (0.5000, 0.5000, 0.0000)  4 U 2.28
N (0.0000, 0.0000, 0.0000)  4 U 2.28

Summary:
Formation energy from raw total energies ... -4.3 eV/f.u.
ρ ... 9.047 g/cm3



Here is an optimized crystal structure of TbAg2AsS4 from the Alexandria database. Energies are from PBE-GGA.

abc: 7.7834 7.7834 7.9070
angles: 120.53 120.53 90.82
With the nearest neighbours (Å) after each atom.
Element x y z (fractional)
S (0.2633, 0.7364, 0.4998)  1 As 2.62, 2 Tb 2.73-2.74, 3 Ag 2.74-2.92
S (0.2484, 0.2517, 0.0160)  2 As 2.64, 1 Tb 2.76, 3 Ag 2.79-2.82
S (0.7368, 0.2635, 0.5002)  1 As 2.62, 2 Tb 2.73-2.74, 3 Ag 2.74-2.92
S (0.7636, 0.2367, 0.0002)  1 As 2.62, 2 Tb 2.73-2.74, 3 Ag 2.74-2.92
S (0.2365, 0.7632, 0.9998)  1 As 2.62, 2 Tb 2.73-2.74, 3 Ag 2.74-2.92
S (0.7516, 0.7483, 0.9840)  2 As 2.64, 1 Tb 2.76, 3 Ag 2.79-2.82
S (0.2483, 0.2516, 0.4841)  2 As 2.64, 1 Tb 2.76, 3 Ag 2.79-2.82
S (0.7518, 0.7484, 0.5160)  2 As 2.64, 1 Tb 2.76, 3 Ag 2.79-2.82
As (0.5000, 0.5000, 0.5000)  6 S 2.62-2.64
As (0.0000, 0.0000, 0.0000)  6 S 2.62-2.64
Tb (0.0000, 0.5000, 0.5000)  6 S 2.73-2.76
Tb (0.0000, 0.5000, 0.0000)  6 S 2.73-2.76
Ag (0.5000, 0.0000, 0.5000)  6 S 2.74-2.79
Ag (0.5000, 0.0000, 0.0000)  6 S 2.74-2.79
Ag (0.5000, 0.5000, 0.0000)  6 S 2.82-2.92
Ag (0.0000, 0.0000, 0.5000)  6 S 2.82-2.92

Summary:
Formation energy from raw total energies ... -5.1 eV/f.u.
ρ ... 5.805 g/cm3



- Number 2 is which compound?
  HgRu